(1)
{
  "formula": "PtRhPb",
  "functional": "PBEsol",
  "state": "optimized geometry",
  "cell": [[6.1749, 0.0000, 0.0000], [0.0000, 6.1749, 0.0000], [0.0000, 0.0000, 6.1749]],
  "species": ["Pt", "Pt", "Pt", "Pt", "Rh", "Rh", "Rh", "Rh", "Pb", "Pb", "Pb", "Pb"],
  "frac_coords": [[0.0000, 0.0000, 0.0000], [0.0000, 0.5000, 0.5000], [0.5000, 0.0000, 0.5000], [0.5000, 0.5000, 0.0000], [0.2500, 0.2500, 0.7500], [0.2500, 0.7500, 0.2500], [0.7500, 0.2500, 0.2500], [0.7500, 0.7500, 0.7500], [0.0000, 0.0000, 0.5000], [0.0000, 0.5000, 0.0000], [0.5000, 0.0000, 0.0000], [0.5000, 0.5000, 0.5000]],
  "rho_g_cm3": 14.3,
  "vol_a3_per_cell": 235.45,
  "e_form_mev_per_atom": 178,
  "spacegroup": "F-43m (216)",
  "crystal_system": "cubic",
  "magnetic_moment_mub_per_cell": 0.00
}

=====

(2)
{
  "formula": "Co3BiRu",
  "functional": "PBEsol",
  "state": "optimized geometry",
  "cell": [[4.3880, 0.0000, 0.0000], [0.0000, 4.3880, 0.0000], [0.0000, 0.0000, 4.3880]],
  "species": ["Co", "Co", "Co", "Bi", "Ru"],
  "frac_coords": [[0.0000, 0.0000, 0.5000], [0.0000, 0.5000, 0.0000], [0.5000, 0.0000, 0.0000], [0.5000, 0.5000, 0.5000], [0.0000, 0.0000, 0.0000]],
  "rho_g_cm3": 9.6,
  "vol_a3_per_cell": 84.49,
  "e_form_mev_per_atom": 1278,
  "spacegroup": "Pm-3m (221)",
  "crystal_system": "cubic",
  "magnetic_moment_mub_per_cell": 0.01
}

=====

(3)
{
  "formula": "Y2RuPt",
  "functional": "PBEsol",
  "state": "optimized geometry",
  "cell": [[4.3421, 0.0000, 0.0000], [0.0000, 3.6297, 0.0000], [0.0000, 0.0000, 10.4969]],
  "species": ["Y", "Y", "Y", "Y", "Ru", "Ru", "Pt", "Pt"],
  "frac_coords": [[0.0000, 0.0000, 0.0000], [0.0000, 0.5000, 0.5000], [0.5000, 0.0000, 0.2872], [0.5000, 0.5000, 0.7872], [0.0000, 0.0000, 0.7281], [0.0000, 0.5000, 0.2281], [0.5000, 0.0000, 0.5634], [0.5000, 0.5000, 0.0634]],
  "rho_g_cm3": 9.5,
  "vol_a3_per_cell": 165.44,
  "e_form_mev_per_atom": -656,
  "spacegroup": "Amm2 (38)",
  "crystal_system": "orthorhombic",
  "magnetic_moment_mub_per_cell": 0.00
}

=====

(4)
{
  "formula": "SrLa2SiN",
  "functional": "PBEsol",
  "state": "optimized geometry",
  "cell": [[4.9524, 0.0000, 0.0000], [0.0000, 4.9524, 0.0000], [0.0000, 0.0000, 5.0419]],
  "species": ["Sr", "La", "La", "Si", "N"],
  "frac_coords": [[0.0000, 0.0000, 0.0000], [0.0000, 0.5000, 0.5000], [0.5000, 0.0000, 0.5000], [0.5000, 0.5000, 0.0000], [0.0000, 0.0000, 0.5000]],
  "rho_g_cm3": 5.5,
  "vol_a3_per_cell": 123.66,
  "e_form_raw_ev_per_atom": -0.7902,
  "spacegroup": "P4/mmm (123)",
  "crystal_system": "tetragonal",
  "magnetic_moment_mub_per_cell": 0.00
}

=====

(5)
{
  "formula": "YFe3B4O12",
  "functional": "PBEsol",
  "state": "optimized geometry",
  "cell": [[4.6525, 2.6861, 2.3919], [-4.6525, 2.6861, 2.3919], [0.0000, -5.3722, 2.3919]],
  "species": ["Y", "Fe", "Fe", "Fe", "B", "B", "B", "B", "O", "O", "O", "O", "O", "O", "O", "O", "O", "O", "O", "O"],
  "frac_coords": [[0.0000, 0.0000, 0.0000], [0.0000, 0.5610, 0.4390], [0.4390, 0.0000, 0.5610], [0.5610, 0.4390, 0.0000], [0.0620, 0.5000, 0.9380], [0.5000, 0.5000, 0.5000], [0.5000, 0.9380, 0.0620], [0.9380, 0.0620, 0.5000], [0.0313, 0.6331, 0.7791], [0.0875, 0.9125, 0.5000], [0.2209, 0.3669, 0.9687], [0.3509, 0.6491, 0.5000], [0.3669, 0.9687, 0.2209], [0.5000, 0.0875, 0.9125], [0.5000, 0.3509, 0.6491], [0.6331, 0.7791, 0.0313], [0.6491, 0.5000, 0.3509], [0.7791, 0.0313, 0.6331], [0.9125, 0.5000, 0.0875], [0.9687, 0.2209, 0.3669]],
  "rho_g_cm3": 4.6,
  "vol_a3_per_cell": 179.35,
  "e_form_raw_ev_per_atom": -2.0473,
  "spacegroup": "R32 (155)",
  "crystal_system": "trigonal",
  "magnetic_moment_mub_per_cell": 3.00
}

=====

(6)
{
  "formula": "SrP2Ru",
  "functional": "PBEsol",
  "state": "optimized geometry",
  "cell": [[5.7938, 0.0000, 0.0000], [0.0000, 5.7938, 0.0000], [0.0000, 0.0000, 11.8451]],
  "species": ["Sr", "Sr", "Sr", "Sr", "P", "P", "P", "P", "P", "P", "P", "P", "Ru", "Ru", "Ru", "Ru"],
  "frac_coords": [[0.0000, 0.0000, 0.0000], [0.0000, 0.5000, 0.2500], [0.5000, 0.0000, 0.7500], [0.5000, 0.5000, 0.5000], [0.1344, 0.2500, 0.6250], [0.2500, 0.6344, 0.8750], [0.2500, 0.8656, 0.3750], [0.3656, 0.2500, 0.1250], [0.6344, 0.7500, 0.1250], [0.7500, 0.1344, 0.3750], [0.7500, 0.3656, 0.8750], [0.8656, 0.7500, 0.6250], [0.0000, 0.0000, 0.5000], [0.0000, 0.5000, 0.7500], [0.5000, 0.0000, 0.2500], [0.5000, 0.5000, 0.0000]],
  "rho_g_cm3": 4.2,
  "vol_a3_per_cell": 397.61,
  "e_form_mev_per_atom": -406,
  "spacegroup": "I-42d (122)",
  "crystal_system": "tetragonal",
  "magnetic_moment_mub_per_cell": 0.00
}